Entry 1:
This record from the Alexandria database describes TaZnRe after structural relaxation. The functional is GGA-PBE.

Summary:
Density of states at the Fermi level in states/eV per cell: 0.6
Magnetization in μB per cell: 0.00
Formation energy from the elements in kcal/mol of atoms: 18.2

a b c (Å): 4.3402 4.3402 4.3402
angles (deg): 60.00 60.00 60.00
Last column: nearest neighbours and their distance in Å.
Atoms (fractional coordinates):
Ta1 0.7500 0.7500 0.7500  4 Re 2.66, 4 Zn 2.66
Re1 0.5000 0.5000 0.5000  4 Ta 2.66
Zn1 0.0000 0.0000 0.0000  4 Ta 2.66

***

Entry 2:
This record from the Alexandria database describes TaZnRe3 after structural relaxation. The functional is GGA-PBE.

Summary:
Density of states at the Fermi level in states/eV per cell: 5.8
Magnetization in μB per cell: 0.00
Formation energy from the elements in kcal/mol of atoms: 39.5

a b c (Å): 4.4517 4.4517 4.4517
angles (deg): 90.00 90.00 90.00
Last column: nearest neighbours and their distance in Å.
Atoms (fractional coordinates):
Zn1 0.0000 0.0000 0.0000  6 Re 2.23
Re1 0.0000 0.5000 0.0000  2 Zn 2.23
Re2 0.0000 0.0000 0.5000  2 Zn 2.23
Re3 0.5000 0.0000 0.0000  2 Zn 2.23
Ta1 0.5000 0.5000 0.5000  12 Re 3.15

***

Entry 3:
This record from the Alexandria database describes TaZnRe after structural relaxation. The functional is GGA-PBE.

Summary:
Density of states at the Fermi level in states/eV per cell: 0.7
Magnetization in μB per cell: 0.00
Formation energy from the elements in kcal/mol of atoms: -0.7

a b c (Å): 4.4898 4.4898 2.7261
angles (deg): 90.00 90.00 120.00
Last column: nearest neighbours and their distance in Å.
Atoms (fractional coordinates):
Re1 0.0000 0.0000 0.9994  3 Zn 2.72, 3 Ta 2.72, 2 Re 2.73
Ta1 0.3333 0.6667 0.3054  3 Re 2.72, 2 Ta 2.73, 3 Zn 2.80
Zn1 0.6667 0.3333 0.6951  3 Re 2.72, 2 Zn 2.73, 3 Ta 2.80

***

Entry 4:
This record from the Alexandria database describes TaZnRe after structural relaxation. The functional is GGA-PBE.

Summary:
Density of states at the Fermi level in states/eV per cell: 2.2
Magnetization in μB per cell: 0.00
Formation energy from the elements in kcal/mol of atoms: 2.1

a b c (Å): 7.0550 6.8878 2.7389
angles (deg): 82.12 75.26 22.62
Last column: nearest neighbours and their distance in Å.
Atoms (fractional coordinates):
Zn1 0.6642 0.6642 0.3358  2 Re 2.71, 4 Zn 2.74, 2 Ta 2.79
Re1 0.0012 0.0012 0.9988  2 Zn 2.71, 4 Re 2.74, 2 Ta 2.75
Ta1 0.3346 0.3346 0.6654  4 Ta 2.74, 2 Re 2.75, 2 Zn 2.79

***

Entry 5:
This record from the Alexandria database describes Ta2ZnRe after structural relaxation. The functional is GGA-PBE.

Summary:
Density of states at the Fermi level in states/eV per cell: 2.8
Magnetization in μB per cell: 0.00
Formation energy from the elements in kcal/mol of atoms: -0.6

a b c (Å): 2.7949 2.7949 8.9131
angles (deg): 90.00 90.00 108.33
Last column: nearest neighbours and their distance in Å.
Atoms (fractional coordinates):
Ta1 0.0000 0.0000 0.5035  2 Re 2.74, 2 Zn 2.79, 4 Ta 2.79
Ta2 0.0000 0.0000 0.9965  2 Re 2.74, 2 Zn 2.79, 4 Ta 2.79
Re1 0.5000 0.5000 0.7500  4 Ta 2.74, 4 Re 2.79
Zn1 0.5000 0.5000 0.2500  4 Ta 2.79, 4 Zn 2.79

***

Entry 6:
This record from the Alexandria database describes Ta2ZnRe after structural relaxation. The functional is GGA-PBE.

Summary:
Density of states at the Fermi level in states/eV per cell: 2.3
Magnetization in μB per cell: 0.00
Formation energy from the elements in kcal/mol of atoms: -0.4

a b c (Å): 4.7062 4.7062 4.2631
angles (deg): 63.06 63.06 53.84
Last column: nearest neighbours and their distance in Å.
Atoms (fractional coordinates):
Ta1 0.5000 0.5000 0.5000  4 Re 2.79, 4 Zn 2.79, 4 Ta 3.01
Ta2 0.0000 0.0000 0.0000  4 Re 2.79, 4 Zn 2.79, 4 Ta 3.01
Zn1 0.7500 0.7500 0.7500  8 Ta 2.79, 4 Re 3.01
Re1 0.2500 0.2500 0.2500  8 Ta 2.79, 4 Zn 3.01

***

Entry 7:
This record from the Alexandria database describes TaZnRe after structural relaxation. The functional is GGA-PBE.

Summary:
Density of states at the Fermi level in states/eV per cell: 0.3
Magnetization in μB per cell: 0.00
Formation energy from the elements in kcal/mol of atoms: -1.2

a b c (Å): 4.8790 4.8790 4.8790
angles (deg): 139.99 139.99 57.87
Last column: nearest neighbours and their distance in Å.
Atoms (fractional coordinates):
Ta1 0.3398 0.3398 0.0000  5 Re 2.71-2.94, 5 Zn 2.77-2.80
Re1 0.9959 0.9959 0.0000  5 Ta 2.71-2.94, 5 Zn 2.76-2.83
Zn1 0.6642 0.6642 0.0000  5 Re 2.76-2.83, 5 Ta 2.77-2.80

***

Entry 8:
This record from the Alexandria database describes Ta2ZnRe after structural relaxation. The functional is GGA-PBE.

Summary:
Density of states at the Fermi level in states/eV per cell: 2.6
Magnetization in μB per cell: 0.00
Formation energy from the elements in kcal/mol of atoms: -1.6

a b c (Å): 4.4300 4.4300 3.3370
angles (deg): 90.00 90.00 93.88
Last column: nearest neighbours and their distance in Å.
Atoms (fractional coordinates):
Ta1 0.0000 0.0000 0.0000  4 Re 2.77, 4 Zn 2.77, 2 Ta 3.02
Ta2 0.5000 0.5000 0.0000  4 Zn 2.77, 4 Re 2.77, 2 Ta 3.02
Zn1 0.5000 0.0000 0.5000  8 Ta 2.77, 2 Re 3.02
Re1 0.0000 0.5000 0.5000  8 Ta 2.77, 2 Zn 3.02

***

> Look up the magnetization of the eighth one.

0.00 μB per cell

***

> What is the formula in the third record?

TaZnRe